# NaCa3Ag | the Alexandria database | GGA-PBEsol | optimized geometry
# Calculated formation energy: 0.636 eV per atom
# Total energy: -1.59 eV per atom
data_NaCa3Ag
_chemical_formula_sum 'Na1 Ca3 Ag1'
_symmetry_space_group_name_H-M 'P m -3 m'
_symmetry_Int_Tables_number 221
_symmetry_space_group_name_Hall '-P 4 2 3'
_cell_length_a 5.819
_cell_length_b 5.819
_cell_length_c 5.819
_cell_angle_alpha 90.00
_cell_angle_beta 90.00
_cell_angle_gamma 90.00
loop_
_atom_site_label
_atom_site_type_symbol
_atom_site_fract_x
_atom_site_fract_y
_atom_site_fract_z
Na1 Na 0.000 0.000 0.000
Ca1 Ca 0.000 0.000 0.500
Ag1 Ag 0.500 0.500 0.500

---

# Na2CaTlAg | the Alexandria database | GGA-PBEsol | optimized geometry
# Calculated formation energy: 0.227 eV per atom
# Total energy: -1.95 eV per atom
data_Na2CaTlAg
_chemical_formula_sum 'Na2 Ca1 Tl1 Ag1'
_symmetry_space_group_name_H-M 'P 4/m m m'
_symmetry_Int_Tables_number 123
_symmetry_space_group_name_Hall '-P 4 2'
_cell_length_a 5.585
_cell_length_b 5.585
_cell_length_c 5.262
_cell_angle_alpha 90.00
_cell_angle_beta 90.00
_cell_angle_gamma 90.00
loop_
_atom_site_label
_atom_site_type_symbol
_atom_site_fract_x
_atom_site_fract_y
_atom_site_fract_z
Na1 Na 0.000 0.500 0.000
Ca1 Ca 0.000 0.000 0.500
Tl1 Tl 0.500 0.500 0.000
Ag1 Ag 0.500 0.500 0.500

---

# CaNi2Ag | the Alexandria database | GGA-PBEsol | optimized geometry
# Calculated formation energy: 0.125 eV per atom
# Total energy: -4.31 eV per atom
data_CaNi2Ag
_chemical_formula_sum 'Ca1 Ni2 Ag1'
_symmetry_space_group_name_H-M 'P 4/m m m'
_symmetry_Int_Tables_number 123
_symmetry_space_group_name_Hall '-P 4 2'
_cell_length_a 4.014
_cell_length_b 4.014
_cell_length_c 3.772
_cell_angle_alpha 90.00
_cell_angle_beta 90.00
_cell_angle_gamma 90.00
loop_
_atom_site_label
_atom_site_type_symbol
_atom_site_fract_x
_atom_site_fract_y
_atom_site_fract_z
Ca1 Ca 0.000 0.000 0.000
Ni1 Ni 0.000 0.500 0.500
Ag1 Ag 0.500 0.500 0.000

---

# CaNi2Ag | the Alexandria database | GGA-PBEsol | optimized geometry
# Calculated formation energy: 0.179 eV per atom
# Total energy: -4.26 eV per atom
data_CaNi2Ag
_chemical_formula_sum 'Ca2 Ni4 Ag2'
_symmetry_space_group_name_H-M 'I -4 m 2'
_symmetry_Int_Tables_number 119
_symmetry_space_group_name_Hall 'I -4 -2'
_cell_length_a 3.920
_cell_length_b 3.920
_cell_length_c 8.040
_cell_angle_alpha 90.00
_cell_angle_beta 90.00
_cell_angle_gamma 90.00
loop_
_atom_site_label
_atom_site_type_symbol
_atom_site_fract_x
_atom_site_fract_y
_atom_site_fract_z
Ca1 Ca 0.000 0.000 0.000
Ni1 Ni 0.000 0.000 0.500
Ni2 Ni 0.000 0.500 0.250
Ag1 Ag 0.000 0.500 0.750